Entry 1:
Computed, not measured: a relaxed structure of YErThTl at the PBE level of DFT.

Lattice parameters (Å, degrees): 5.4984 5.4984 5.4984 60.00 60.00 60.00
Closest atoms and distances in Å follow each position.
Positions (direct):
Y: 0.7500 0.7500 0.7500  4 Tl 3.37, 4 Er 3.37
Tl: 0.5000 0.5000 0.5000  4 Y 3.37, 4 Th 3.37
Th: 0.2500 0.2500 0.2500  4 Er 3.37, 4 Tl 3.37
Er: 0.0000 0.0000 0.0000  4 Th 3.37, 4 Y 3.37

Summary:
The size of the total moment is 0.0 μB per formula unit. The calculation puts the density of states at the Fermi level at 6.774 states/eV/f.u. For the formation energy, the calculation gives 20 meV per atom.

=====

Entry 2:
Computed, not measured: a relaxed structure of Sr2TcRh at the PBE level of DFT.

Lattice parameters (Å, degrees): 5.0172 5.0172 6.2970 83.06 83.06 36.46
Closest atoms and distances in Å follow each position.
Positions (direct):
Rh: 0.2500 0.2500 0.2500  6 Sr 3.03-3.07, 2 Rh 3.14
Sr: 0.9963 0.9963 0.0057  3 Tc 3.01-3.15, 3 Rh 3.03-3.07, 2 Sr 3.14
Sr: 0.5037 0.5037 0.4943  3 Tc 3.01-3.15, 3 Rh 3.03-3.07, 2 Sr 3.14
Tc: 0.7500 0.7500 0.7500  6 Sr 3.01-3.15, 2 Tc 3.14

Summary:
The offset from the most stable computed form comes out at 232.8 kJ/mol of formula units. The size of the total moment is 0.5 μB per formula unit. The calculation puts the density of states at the Fermi level at 4.918 states/eV/f.u. For the formation energy, the calculation gives 819 meV per atom.

=====

Entry 3:
Computed, not measured: a relaxed structure of NaO5 at the PBE level of DFT.

Lattice parameters (Å, degrees): 3.6603 4.4272 6.7794 95.94 90.00 114.42
Closest atoms and distances in Å follow each position.
Positions (direct):
O: 0.3544 0.7089 0.9857  1 O 1.42
O: 0.3567 0.7134 0.7772  2 O 1.34-1.42
O: 0.6986 0.3972 0.3214  1 O 1.23
O: 0.5129 0.0258 0.7271  1 O 1.34
O: 0.8496 0.6992 0.3774  1 O 1.23
Na: 0.0611 0.1222 0.9778  5 O 2.36-2.50

Summary:
The offset from the most stable computed form comes out at 0.0 kJ/mol of formula units. The size of the total moment is 3.0 μB per formula unit. The calculation puts the density of states at the Fermi level at 0.448 states/eV/f.u. The raw formation energy comes out at -0.315 eV per atom.

=====

Entry 4:
Computed, not measured: a relaxed structure of MnTcPd at the PBE level of DFT.

Lattice parameters (Å, degrees): 4.0819 4.0819 4.0819 60.00 60.00 60.00
Closest atoms and distances in Å follow each position.
Positions (direct):
Mn: 0.7500 0.7500 0.7500  4 Tc 2.50, 4 Pd 2.50
Pd: 0.0000 0.0000 0.0000  4 Mn 2.50
Tc: 0.5000 0.5000 0.5000  4 Mn 2.50

Summary:
The offset from the most stable computed form comes out at 133.2 kJ/mol of formula units. The size of the total moment is 1.4 μB per formula unit. The calculation puts the density of states at the Fermi level at 4.279 states/eV/f.u. For the formation energy, the calculation gives 490 meV per atom.

=====

Entry 5:
Computed, not measured: a relaxed structure of Er4SnSb at the PBE level of DFT.

Lattice parameters (Å, degrees): 6.2131 8.3041 8.1737 113.53 103.58 106.62
Closest atoms and distances in Å follow each position.
Positions (direct):
Sb: 0.7478 0.9978 0.9957  8 Er 3.08-3.19, 2 Sb 3.11
Sb: 0.2522 0.0022 0.0043  8 Er 3.08-3.19, 2 Sb 3.11
Er: 0.7045 0.3861 0.1671  2 Sb 3.08-3.09, 2 Sn 3.19-3.22, 2 Er 3.21-3.39
Er: 0.9626 0.7811 0.1671  2 Sb 3.08-3.09, 2 Sn 3.19-3.22, 2 Er 3.21-3.39
Er: 0.0374 0.2189 0.8329  2 Sb 3.08-3.09, 2 Sn 3.19-3.22, 2 Er 3.21-3.39
Er: 0.2955 0.6139 0.8329  2 Sb 3.08-3.09, 2 Sn 3.19-3.22, 2 Er 3.21-3.39
Er: 0.3474 0.9188 0.6177  2 Sb 3.16-3.19, 2 Sn 3.19-3.29, 3 Er 3.38-3.53
Er: 0.6526 0.0812 0.3823  2 Sb 3.16-3.19, 2 Sn 3.19-3.29, 3 Er 3.38-3.53
Er: 0.7703 0.6988 0.6177  2 Sb 3.16-3.19, 2 Sn 3.19-3.29, 3 Er 3.38-3.53
Er: 0.2297 0.3012 0.3823  2 Sb 3.16-3.19, 2 Sn 3.19-3.29, 3 Er 3.38-3.53
Sn: 0.3672 0.6172 0.2344  8 Er 3.19-3.29
Sn: 0.6328 0.3828 0.7656  8 Er 3.19-3.29

Summary:
The size of the total moment is 0.0 μB per formula unit. The calculation puts the density of states at the Fermi level at 6.263 states/eV/f.u. The raw formation energy comes out at -0.530 eV per atom.

=====

Entry 6:
Computed, not measured: a relaxed structure of Sm3Zn4Ru2 at the PBE level of DFT.

Lattice parameters (Å, degrees): 4.2047 5.9754 8.4672 71.70 75.62 69.40
Closest atoms and distances in Å follow each position.
Positions (direct):
Sm: 0.6906 0.2555 0.3634  3 Ru 2.98-3.01, 7 Zn 3.16-3.21
Sm: 0.0000 0.0000 0.0000  4 Ru 2.96, 6 Zn 3.06-3.13
Sm: 0.3094 0.7445 0.6366  3 Ru 2.98-3.01, 7 Zn 3.16-3.21
Zn: 0.2781 0.3820 0.0618  2 Zn 2.55, 1 Ru 2.58
Zn: 0.0223 0.3178 0.6375  2 Ru 2.58, 1 Zn 2.63
Zn: 0.9777 0.6822 0.3625  2 Ru 2.58, 1 Zn 2.63
Zn: 0.7219 0.6180 0.9382  2 Zn 2.55, 1 Ru 2.58
Ru: 0.3977 0.9445 0.2601  3 Zn 2.58
Ru: 0.6023 0.0555 0.7399  3 Zn 2.58

Summary:
The size of the total moment is 0.0 μB per formula unit. The calculation puts the density of states at the Fermi level at 6.146 states/eV/f.u. For the formation energy, the calculation gives -299 meV per atom.

=====

Entry 7:
Computed, not measured: a relaxed structure of KCdPd2O at the PBE level of DFT.

Lattice parameters (Å, degrees): 5.2881 4.2215 5.2881 90.00 90.00 90.00
Closest atoms and distances in Å follow each position.
Positions (direct):
K: 0.5000 0.5000 0.5000  8 Pd 3.38, 4 O 3.74
Pd: 0.5000 0.0000 0.0000  2 Cd 2.64
Pd: 0.0000 0.0000 0.5000  2 Cd 2.64
O: 0.0000 0.5000 0.0000  2 Cd 2.11
Cd: 0.0000 0.0000 0.0000  2 O 2.11

Summary:
The size of the total moment is 0.0 μB per formula unit. The calculation puts the density of states at the Fermi level at 0.981 states/eV/f.u. The raw formation energy comes out at 0.244 eV per atom.

=====

Entry 8:
Computed, not measured: a relaxed structure of KCu2GeS4 at the PBE level of DFT.

Lattice parameters (Å, degrees): 6.1511 6.1511 6.1511 118.45 118.45 92.70
Closest atoms and distances in Å follow each position.
Positions (direct):
S: 0.9597 0.3609 0.0000  1 Ge 2.25, 2 Cu 2.39
S: 0.6391 0.6391 0.5988  1 Ge 2.25, 2 Cu 2.39
S: 0.0403 0.0403 0.4012  1 Ge 2.25, 2 Cu 2.39
S: 0.3609 0.9597 0.0000  1 Ge 2.25, 2 Cu 2.39
K: 0.5000 0.5000 0.0000  4 S 2.99
Cu: 0.2500 0.7500 0.5000  4 S 2.39
Cu: 0.7500 0.2500 0.5000  4 S 2.39
Ge: 0.0000 0.0000 0.0000  4 S 2.25

Summary:
The size of the total moment is 0.0 μB per formula unit. The calculation puts the density of states at the Fermi level at 4.456 states/eV/f.u. The raw formation energy comes out at -0.455 eV per atom.